Compound: Ba2Li3Cd12Pd
Source: the Alexandria database
Functional: PBE
Structure: relaxed

Values from the calculation:
The total energy comes out at -1.557 eV/atom. As for the crystal system: trigonal. The calculated density comes out at 6.07 g/cm3. As for the energy relative to the elements: -0.13 eV per atom.

The structure in CIF format:
```
data_Ba2Li3Cd12Pd
_chemical_formula_sum 'Ba2 Li3 Cd12 Pd1'
_space_group_name_H-M_alt 'P 1'
_space_group_IT_number 1
_cell_length_a 11.2822
_cell_length_b 11.2822
_cell_length_c 11.2822
_cell_angle_alpha 37.57
_cell_angle_beta 37.57
_cell_angle_gamma 37.57
loop_
_space_group_symop_operation_xyz
'x,y,z'
loop_
_atom_site_label
_atom_site_type_symbol
_atom_site_fract_x
_atom_site_fract_y
_atom_site_fract_z
Ba1 Ba 0.1475 0.1475 0.1475
Ba2 Ba 0.8525 0.8525 0.8525
Li1 Li 0.0000 0.5000 0.5000
Li2 Li 0.5000 0.0000 0.5000
Li3 Li 0.5000 0.5000 0.0000
Cd1 Cd 0.0900 0.0900 0.6830
Cd2 Cd 0.0900 0.6830 0.0900
Cd3 Cd 0.1449 0.5763 0.5763
Cd4 Cd 0.3170 0.9100 0.9100
Cd5 Cd 0.4237 0.4237 0.8551
Cd6 Cd 0.4237 0.8551 0.4237
Cd7 Cd 0.5763 0.1449 0.5763
Cd8 Cd 0.5763 0.5763 0.1449
Cd9 Cd 0.6830 0.0900 0.0900
Cd10 Cd 0.8551 0.4237 0.4237
Cd11 Cd 0.9100 0.3170 0.9100
Cd12 Cd 0.9100 0.9100 0.3170
Pd1 Pd 0.5000 0.5000 0.5000
```

***

Compound: BaLiCd2Pd
Source: the Alexandria database
Functional: PBE
Structure: relaxed

Values from the calculation:
The total energy comes out at -2.466 eV/atom. As for the crystal system: tetragonal. The calculated density comes out at 5.62 g/cm3. As for the energy relative to the elements: -0.29 eV per atom. The calculation puts the energy above the lowest structure with this stoichiometry at 79 meV/atom.

The structure in CIF format:
```
data_BaLiCd2Pd
_chemical_formula_sum 'Ba1 Li1 Cd2 Pd1'
_space_group_name_H-M_alt 'P 1'
_space_group_IT_number 1
_cell_length_a 5.3328
_cell_length_b 5.3328
_cell_length_c 4.9382
_cell_angle_alpha 90.00
_cell_angle_beta 90.00
_cell_angle_gamma 90.00
loop_
_space_group_symop_operation_xyz
'x,y,z'
loop_
_atom_site_label
_atom_site_type_symbol
_atom_site_fract_x
_atom_site_fract_y
_atom_site_fract_z
Ba1 Ba 0.0000 0.0000 0.0000
Li1 Li 0.5000 0.5000 0.0000
Cd1 Cd 0.0000 0.5000 0.5000
Cd2 Cd 0.5000 0.0000 0.5000
Pd1 Pd 0.5000 0.5000 0.5000
```

***

Compound: BaLiPmCd
Source: the Alexandria database
Functional: PBE
Structure: relaxed

Values from the calculation:
The total energy comes out at -2.402 eV/atom. As for the crystal system: cubic. The calculated density comes out at 5.04 g/cm3. As for the energy relative to the elements: -0.03 eV per atom.

The structure in CIF format:
```
data_BaLiPmCd
_chemical_formula_sum 'Ba4 Li4 Pm4 Cd4'
_space_group_name_H-M_alt 'P 1'
_space_group_IT_number 1
_cell_length_a 8.0898
_cell_length_b 8.0898
_cell_length_c 8.0898
_cell_angle_alpha 90.00
_cell_angle_beta 90.00
_cell_angle_gamma 90.00
loop_
_space_group_symop_operation_xyz
'x,y,z'
loop_
_atom_site_label
_atom_site_type_symbol
_atom_site_fract_x
_atom_site_fract_y
_atom_site_fract_z
Ba1 Ba 0.0000 0.0000 0.0000
Ba2 Ba 0.0000 0.5000 0.5000
Ba3 Ba 0.5000 0.0000 0.5000
Ba4 Ba 0.5000 0.5000 0.0000
Li1 Li 0.2500 0.2500 0.7500
Li2 Li 0.2500 0.7500 0.2500
Li3 Li 0.7500 0.2500 0.2500
Li4 Li 0.7500 0.7500 0.7500
Pm1 Pm 0.0000 0.0000 0.5000
Pm2 Pm 0.0000 0.5000 0.0000
Pm3 Pm 0.5000 0.0000 0.0000
Pm4 Pm 0.5000 0.5000 0.5000
Cd1 Cd 0.2500 0.2500 0.2500
Cd2 Cd 0.2500 0.7500 0.7500
Cd3 Cd 0.7500 0.2500 0.7500
Cd4 Cd 0.7500 0.7500 0.2500
```

***

Compound: Ba2LiCd6Pt
Source: the Alexandria database
Functional: PBE
Structure: relaxed

Values from the calculation:
The total energy comes out at -1.987 eV/atom. As for the crystal system: tetragonal. The calculated density comes out at 6.68 g/cm3. As for the energy relative to the elements: -0.26 eV per atom.

The structure in CIF format:
```
data_Ba2LiCd6Pt
_chemical_formula_sum 'Ba2 Li1 Cd6 Pt1'
_space_group_name_H-M_alt 'P 1'
_space_group_IT_number 1
_cell_length_a 7.3938
_cell_length_b 7.3938
_cell_length_c 7.3938
_cell_angle_alpha 119.91
_cell_angle_beta 119.91
_cell_angle_gamma 90.15
loop_
_space_group_symop_operation_xyz
'x,y,z'
loop_
_atom_site_label
_atom_site_type_symbol
_atom_site_fract_x
_atom_site_fract_y
_atom_site_fract_z
Ba1 Ba 0.2500 0.7500 0.5000
Ba2 Ba 0.7500 0.2500 0.5000
Li1 Li 0.0000 0.0000 0.0000
Cd1 Cd 0.2435 0.2435 0.0000
Cd2 Cd 0.2439 0.2439 0.4877
Cd3 Cd 0.2439 0.7561 0.0000
Cd4 Cd 0.7561 0.2439 0.0000
Cd5 Cd 0.7565 0.7565 0.0000
Cd6 Cd 0.7561 0.7561 0.5123
Pt1 Pt 0.5000 0.5000 0.0000
```

***

Question: Which of these has the highest total energy?
Answer: Ba2Li3Cd12Pd